Here is SrHf3Al after structural relaxation from the Alexandria database. Energies are from PBE.

abc: 5.1950 5.1950 5.1950
angles: 90.00 90.00 90.00
Positions (direct):
Sr  0.0000  0.0000  0.0000
Hf  0.0000  0.5000  0.5000
Hf  0.5000  0.0000  0.5000
Hf  0.5000  0.5000  0.0000
Al  0.5000  0.5000  0.5000

Calculated values
Total magnetic moment = 0.00 μB/f.u.
Formation enthalpy at 0 K = 0.75 eV/atom
E above lowest polymorph = 0 meV/atom